A plane-wave DFT calculation with PBE+U was carried out for an optimized crystal structure of ZrTcMoF.

Values from the calculation:
- M_tot (μB/cell) = 1.8
- excess energy over the best structure of this formula in the dataset (eV/atom) = 0.176
- mass density (g/cm³) = 7.5

Cell: 3.179 4.487 4.717 Å, 90.00 90.00 90.00°
Space group Pmmm (No. 47)
Inequivalent atoms, fractional coordinates:
Zr: 0.000 0.000 0.000
Tc: 0.500 0.500 0.000
Mo: 0.000 0.500 0.500
F: 0.000 0.000 0.500